First-principles (PBE) data for a relaxed Ba2LaIn crystal, as listed in the Alexandria database.

Values from the calculation:
Raw total energy = -11.7 eV per formula unit
Mass density = 5.586 g/cm3

a b c (Å): 5.4407 5.4407 10.6119
angles (deg): 90.00 90.00 90.00
Space group I-4m2 (No. 119)
Asymmetric unit:
Ba  0.0000  0.0000  0.0000 (multiplicity 2)
Ba  0.0000  0.5000  0.2500 (multiplicity 2)
La  0.0000  0.0000  0.5000 (multiplicity 2)
In  0.0000  0.5000  0.7500 (multiplicity 2)